1.
VASP calculation (PBE) on a relaxed Cr3C crystal.

a = 4.250 Å, b = 4.250 Å, c = 4.250 Å
α = 90.00°, β = 90.00°, γ = 90.00°
Element x y z (fractional)
1 Cr 0.750 0.500 0.000
2 Cr 0.250 0.500 0.000
3 Cr 0.000 0.750 0.500
4 Cr 0.000 0.250 0.500
5 Cr 0.500 0.000 0.250
6 Cr 0.500 0.000 0.750
7 C 0.000 0.000 0.000
8 C 0.500 0.500 0.500

- Total DFT energy (no corrections): -0.3347 hartree per atom
- DFT formation energy: 0.42 eV/atom
- Space group: Pm-3n (223)
- Crystal system: cubic
- Excess energy over the best structure of this formula in the dataset: 0.5084 eV per atom



2.
VASP calculation (PBE) on a relaxed TmCdPb3 crystal.

a = 4.580 Å, b = 6.012 Å, c = 5.970 Å
α = 86.52°, β = 111.98°, γ = 112.08°
Element x y z (fractional)
1 Tm 0.496 0.148 0.230
2 Cd 0.095 0.544 0.026
3 Pb 0.301 0.337 0.647
4 Pb 0.694 0.958 0.819
5 Pb 0.869 0.739 0.384

- Total DFT energy (no corrections): -0.1258 hartree per atom
- DFT formation energy: -0.12 eV/atom
- Space group: P1 (1)
- Crystal system: triclinic
- Excess energy over the best structure of this formula in the dataset: 0.0000 eV per atom



3.
VASP calculation (PBE) on a relaxed PaPd2PtAu crystal.

a = 4.156 Å, b = 6.790 Å, c = 6.676 Å
α = 81.15°, β = 90.00°, γ = 90.00°
Element x y z (fractional)
1 Pa 0.750 0.778 0.192
2 Pa 0.250 0.222 0.808
3 Pd 0.250 0.465 0.171
4 Pd 0.250 0.641 0.524
5 Pd 0.750 0.359 0.476
6 Pd 0.750 0.535 0.829
7 Pt 0.750 0.199 0.105
8 Pt 0.250 0.801 0.895
9 Au 0.750 0.934 0.631
10 Au 0.250 0.066 0.369

- Total DFT energy (no corrections): -0.2369 hartree per atom
- DFT formation energy: -0.61 eV/atom
- Space group: P2_1/m (11)
- Crystal system: monoclinic



4.
VASP calculation (PBE) on a relaxed TlCo2Br crystal.

a = 5.331 Å, b = 5.331 Å, c = 5.331 Å
α = 146.11°, β = 115.11°, γ = 75.26°
Last column: magnetic moment on the atom in μB.
Element x y z (fractional)
1 Br 0.250 0.750 0.500  0.07
2 Co 0.016 0.016 0.000  1.64
3 Co 0.484 0.484 0.000  1.64
4 Tl 0.750 0.250 0.500  -0.04

- Total DFT energy (no corrections): -0.1409 hartree per atom
- Space group: Immm (71)
- Energy relative to the elements, uncorrected: 0.730 eV per atom
- Crystal system: orthorhombic
- Excess energy over the best structure of this formula in the dataset: 0.3853 eV per atom



5.
VASP calculation (PBE) on a relaxed YZrP crystal.

a = 6.540 Å, b = 6.324 Å, c = 3.407 Å
α = 78.17°, β = 71.17°, γ = 30.66°
Element x y z (fractional)
1 Y 0.353 0.353 0.647
2 Zr 0.638 0.638 0.362
3 P 0.009 0.009 0.991

- Total DFT energy (no corrections): -0.2753 hartree per atom
- DFT formation energy: -0.68 eV/atom
- Space group: Fmm2 (42)
- Crystal system: orthorhombic



6.
VASP calculation (PBE) on a relaxed BaLiGePd crystal.

a = 4.467 Å, b = 4.470 Å, c = 6.210 Å
α = 111.05°, β = 90.00°, γ = 119.97°
Element x y z (fractional)
1 Ba 0.623 0.247 0.512
2 Li 0.808 0.615 0.066
3 Ge 0.105 0.211 0.958
4 Pd 0.430 0.860 0.931

- Total DFT energy (no corrections): -0.1463 hartree per atom
- DFT formation energy: -0.57 eV/atom
- Space group: R3m (160)
- Crystal system: trigonal



7.
VASP calculation (PBE) on a relaxed Pm3Er2Te8 crystal.

a = 7.592 Å, b = 8.800 Å, c = 8.888 Å
α = 119.67°, β = 106.28°, γ = 90.00°
Element x y z (fractional)
1 Pm 0.500 0.000 0.000
2 Pm 0.000 0.259 0.000
3 Pm 0.000 0.741 0.000
4 Er 0.333 0.250 0.500
5 Er 0.667 0.750 0.500
6 Te 0.886 0.618 0.236
7 Te 0.114 0.382 0.764
8 Te 0.921 0.125 0.250
9 Te 0.079 0.875 0.750
10 Te 0.584 0.625 0.748
11 Te 0.584 0.123 0.748
12 Te 0.416 0.877 0.252
13 Te 0.416 0.375 0.252

- Total DFT energy (no corrections): -0.1826 hartree per atom
- Space group: C2/m (12)
- Energy relative to the elements, uncorrected: -1.237 eV per atom
- Crystal system: monoclinic



8.
VASP calculation (PBE) on a relaxed La5Pr4Hg2 crystal.

a = 3.818 Å, b = 9.223 Å, c = 21.354 Å
α = 90.00°, β = 90.00°, γ = 90.00°
Element x y z (fractional)
1 La 0.000 0.500 0.000
2 La 0.000 0.000 0.500
3 La 0.000 0.244 0.223
4 La 0.000 0.756 0.777
5 La 0.000 0.744 0.277
6 La 0.000 0.256 0.723
7 La 0.000 0.374 0.427
8 La 0.000 0.626 0.573
9 La 0.000 0.874 0.073
10 La 0.000 0.126 0.927
11 Pr 0.500 0.284 0.574
12 Pr 0.500 0.716 0.426
13 Pr 0.500 0.784 0.926
14 Pr 0.500 0.216 0.074
15 Pr 0.500 0.439 0.853
16 Pr 0.500 0.561 0.147
17 Pr 0.500 0.939 0.647
18 Pr 0.500 0.061 0.353
19 Hg 0.500 0.457 0.307
20 Hg 0.500 0.543 0.693
21 Hg 0.500 0.957 0.193
22 Hg 0.500 0.043 0.807

- Total DFT energy (no corrections): -0.1548 hartree per atom
- DFT formation energy: -0.18 eV/atom
- Space group: Pbam (55)
- Crystal system: orthorhombic



9.
VASP calculation (PBE) on a relaxed ScCrRu2 crystal.

a = 5.124 Å, b = 5.124 Å, c = 4.464 Å
α = 69.16°, β = 69.16°, γ = 33.86°
Last column: magnetic moment on the atom in μB.
Element x y z (fractional)
1 Cr 0.735 0.735 0.811  2.34
2 Ru 0.001 0.001 0.942  -0.09
3 Ru 0.261 0.261 0.288  -0.05
4 Sc 0.503 0.503 0.459  0.00

- Total DFT energy (no corrections): -0.3190 hartree per atom
- DFT formation energy: -0.05 eV/atom
- Space group: Cm (8)
- Crystal system: monoclinic



10.
VASP calculation (PBE) on a relaxed Nd3HgBi2 crystal.

a = 6.451 Å, b = 9.138 Å, c = 7.940 Å
α = 106.71°, β = 113.97°, γ = 90.00°
Element x y z (fractional)
1 Nd 0.501 0.250 0.000
2 Nd 0.499 0.750 0.000
3 Nd 0.172 0.086 0.344
4 Nd 0.828 0.414 0.656
5 Nd 0.172 0.586 0.344
6 Nd 0.828 0.914 0.656
7 Hg 0.999 0.750 0.000
8 Hg 0.001 0.250 0.000
9 Bi 0.666 0.583 0.332
10 Bi 0.666 0.083 0.332
11 Bi 0.334 0.917 0.668
12 Bi 0.334 0.417 0.668

- Total DFT energy (no corrections): -0.1622 hartree per atom
- DFT formation energy: -0.69 eV/atom
- Space group: C2/c (15)
- Crystal system: monoclinic



11.
VASP calculation (PBE) on a relaxed Ba2LaMnTe5 crystal.

a = 4.668 Å, b = 10.393 Å, c = 14.318 Å
α = 90.00°, β = 90.00°, γ = 102.98°
Last column: magnetic moment on the atom in μB.
Element x y z (fractional)
1 Ba 0.881 0.763 0.842  0.01
2 Ba 0.125 0.249 0.694  0.01
3 Ba 0.119 0.237 0.342  0.01
4 Ba 0.875 0.751 0.194  0.01
5 La 0.804 0.608 0.532  0.02
6 La 0.196 0.392 0.032  0.02
7 Mn 0.560 0.120 0.920  3.78
8 Mn 0.440 0.880 0.420  3.78
9 Te 0.350 0.700 0.017  -0.02
10 Te 0.688 0.375 0.870  -0.01
11 Te 0.500 0.000 0.760  -0.06
12 Te 0.306 0.612 0.683  -0.01
13 Te 0.968 0.937 0.506  -0.08
14 Te 0.650 0.300 0.517  -0.02
15 Te 0.312 0.625 0.370  -0.01
16 Te 0.500 0.000 0.260  -0.06
17 Te 0.694 0.388 0.183  -0.01
18 Te 0.032 0.063 0.006  -0.08

- Total DFT energy (no corrections): -0.1834 hartree per atom
- Space group: Cmc2_1 (36)
- Energy relative to the elements, uncorrected: -1.252 eV per atom
- Crystal system: orthorhombic



12.
VASP calculation (PBE) on a relaxed In2CoSi2 crystal.

a = 4.625 Å, b = 4.625 Å, c = 6.084 Å
α = 67.66°, β = 67.66°, γ = 90.00°
Last column: magnetic moment on the atom in μB.
Element x y z (fractional)
1 Si 0.390 0.390 0.220  0.01
2 Si 0.610 0.610 0.780  0.01
3 Co 0.000 0.000 0.000  1.98
4 In 0.750 0.250 0.500  0.00
5 In 0.250 0.750 0.500  0.00

- Total DFT energy (no corrections): -0.1404 hartree per atom
- Space group: I4/mmm (139)
- Energy relative to the elements, uncorrected: 0.865 eV per atom
- Crystal system: tetragonal



The lowest total DFT energy (no corrections) belongs to which entry? Cr3C